# Sr4DyY3Te8 | Alexandria via LeMat-Bulk | PBE | relaxed
data_Sr4DyY3Te8
_symmetry_space_group_name_H-M 'R -3 m'
_symmetry_Int_Tables_number 166
_symmetry_space_group_name_Hall '-R 3 2"'
_cell_length_a 8.9757
_cell_length_b 8.9757
_cell_length_c 22.6289
_cell_angle_alpha 90.00
_cell_angle_beta 90.00
_cell_angle_gamma 120.00
loop_
_atom_site_label
_atom_site_type_symbol
_atom_site_fract_x
_atom_site_fract_y
_atom_site_fract_z
_atom_site_occupancy
Sr1 Sr 0.0000 0.0000 0.0000 1
Sr2 Sr 0.0000 0.5000 0.0000 1
Dy1 Dy 0.0000 0.0000 0.5000 1
Y1 Y 0.0000 0.5000 0.5000 1
Te1 Te 0.0000 0.0000 0.2439 1
Te2 Te 0.0006 0.5003 0.2437 1
# formation energy (no corrections) = -1504 meV per atom

# YIrRh | Alexandria via LeMat-Bulk | PBE | relaxed
data_YIrRh
_symmetry_space_group_name_H-M 'P -6 m 2'
_symmetry_Int_Tables_number 187
_symmetry_space_group_name_Hall 'P -6 2'
_cell_length_a 4.4441
_cell_length_b 4.4441
_cell_length_c 3.3447
_cell_angle_alpha 90.00
_cell_angle_beta 90.00
_cell_angle_gamma 120.00
loop_
_atom_site_label
_atom_site_type_symbol
_atom_site_fract_x
_atom_site_fract_y
_atom_site_fract_z
_atom_site_occupancy
Y1 Y 0.0000 0.0000 0.0000 1
Ir1 Ir 0.6667 0.3333 0.5000 1
Rh1 Rh 0.3333 0.6667 0.5000 1
# formation energy from the elements = -0.475 eV per atom
# distance to the lowest polymorph of the same formula = 294 meV/atom

# CdPbCl6 | Alexandria via LeMat-Bulk | PBE | relaxed
data_CdPbCl6
_symmetry_space_group_name_H-M 'R -3'
_symmetry_Int_Tables_number 148
_symmetry_space_group_name_Hall '-R 3'
_cell_length_a 6.5538
_cell_length_b 6.5538
_cell_length_c 17.7765
_cell_angle_alpha 90.00
_cell_angle_beta 90.00
_cell_angle_gamma 120.00
loop_
_atom_site_label
_atom_site_type_symbol
_atom_site_fract_x
_atom_site_fract_y
_atom_site_fract_z
_atom_site_occupancy
Cd1 Cd 0.0000 0.0000 0.0000 1
Pb1 Pb 0.0000 0.0000 0.5000 1
Cl1 Cl 0.0023 0.6751 0.4170 1
# formation energy (no corrections) = -735 meV per atom
# distance to the lowest polymorph of the same formula = 11 meV/atom

# Rb2CeGaS5 | Alexandria via LeMat-Bulk | PBE | relaxed
data_Rb2CeGaS5
_symmetry_space_group_name_H-M 'C m c 21'
_symmetry_Int_Tables_number 36
_symmetry_space_group_name_Hall 'C 2c -2'
_cell_length_a 3.954
_cell_length_b 19.857
_cell_length_c 14.341
_cell_angle_alpha 90.00
_cell_angle_beta 90.00
_cell_angle_gamma 90.00
loop_
_atom_site_label
_atom_site_type_symbol
_atom_site_fract_x
_atom_site_fract_y
_atom_site_fract_z
_atom_site_occupancy
Rb1 Rb 0.000 0.124 0.000 1
Rb2 Rb 0.000 0.131 0.638 1
Ce1 Ce 0.000 0.198 0.338 1
Ga1 Ga 0.000 0.436 0.738 1
S1 S 0.000 0.052 0.330 1
S2 S 0.000 0.304 0.962 1
S3 S 0.000 0.320 0.702 1
S4 S 0.000 0.330 0.322 1
S5 S 0.000 0.495 0.606 1
# formation energy (no corrections) = -1123 meV per atom

| no. | VASP energy (eV/atom) | M_tot (μB/cell) |
| --- | --- | --- |
| 1 | -4.995 | 0.00 |
| 2 | -8.033 | 0.00 |
| 3 | -2.698 | 0.00 |
| 4 | -4.627 | 4.36 |